1.
{
  "formula": "PrTmMo4",
  "functional": "PBE",
  "state": "optimized geometry",
  "formation_energy_ev_per_atom": 0.18,
  "dos_at_fermi_per_ev_fu": 7.72,
  "cell": [[-4.380, 3.217, -1.104], [-5.079, -2.215, -0.231], [-3.695, 1.116, 3.982]],
  "species": ["Mo", "Mo", "Mo", "Mo", "Pr", "Tm"],
  "fractional_positions": [[0.625, 0.625, 0.126], [0.625, 0.126, 0.625], [0.625, 0.625, 0.625], [0.126, 0.625, 0.625], [0.250, 0.250, 0.250], [0.000, 0.000, 0.000]]
}

2.
{
  "formula": "Hf8InSn2",
  "functional": "PBE",
  "state": "optimized geometry",
  "formation_energy_ev_per_atom": -0.01,
  "dos_at_fermi_per_ev_fu": 10.12,
  "cell": [[-3.434, -4.101, -0.301], [6.675, -3.269, -2.230], [-0.883, 2.356, 7.341]],
  "species": ["Hf", "Hf", "Hf", "Hf", "Hf", "Hf", "Hf", "Hf", "Sn", "Sn", "In"],
  "fractional_positions": [[0.298, 0.586, 0.586], [0.847, 0.904, 0.682], [0.847, 0.682, 0.904], [0.500, 0.223, 0.777], [0.500, 0.777, 0.223], [0.702, 0.414, 0.414], [0.153, 0.096, 0.318], [0.153, 0.318, 0.096], [0.000, 0.696, 0.304], [0.000, 0.304, 0.696], [0.500, 0.000, 0.000]]
}

3.
{
  "formula": "NaCuGeTe3",
  "functional": "PBE",
  "state": "optimized geometry",
  "dos_at_fermi_per_ev_fu": 3.28,
  "total_energy_ev_per_atom": -3.47,
  "cell": [[-3.092, 0.233, -2.644], [-5.934, -0.240, 6.919], [1.785, 8.998, -1.293]],
  "species": ["Te", "Te", "Te", "Te", "Te", "Te", "Ge", "Ge", "Cu", "Cu", "Na", "Na"],
  "fractional_positions": [[0.250, 0.555, 0.831], [0.750, 0.445, 0.169], [0.750, 0.232, 0.536], [0.250, 0.768, 0.464], [0.750, 0.881, 0.128], [0.250, 0.119, 0.872], [0.750, 0.338, 0.861], [0.250, 0.662, 0.139], [0.250, 0.062, 0.576], [0.750, 0.938, 0.424], [0.750, 0.820, 0.758], [0.250, 0.180, 0.242]]
}

4.
{
  "formula": "NiHgPCl2",
  "functional": "PBE",
  "state": "optimized geometry",
  "dos_at_fermi_per_ev_fu": 3.96,
  "total_energy_ev_per_atom": -2.92,
  "cell": [[4.627, 0.000, 0.000], [0.000, 4.627, 0.000], [0.000, 0.000, 4.698]],
  "species": ["Cl", "Cl", "P", "Hg", "Ni"],
  "fractional_positions": [[0.500, 0.000, 0.000], [0.000, 0.500, 0.000], [0.000, 0.000, 0.500], [0.500, 0.500, 0.500], [0.000, 0.000, 0.000]]
}

5.
{
  "formula": "Y2AgPd9",
  "functional": "PBE",
  "state": "optimized geometry",
  "formation_energy_ev_per_atom": -0.55,
  "dos_at_fermi_per_ev_fu": 12.15,
  "cell": [[-2.485, -2.310, 2.290], [3.253, -1.750, 1.765], [-0.051, 8.669, 8.689]],
  "species": ["Pd", "Pd", "Pd", "Pd", "Pd", "Pd", "Pd", "Pd", "Pd", "Y", "Y", "Ag"],
  "fractional_positions": [[0.500, 0.000, 0.161], [0.500, 0.500, 0.669], [0.500, 0.000, 0.839], [0.500, 0.500, 0.331], [0.000, 0.500, 0.500], [0.000, 0.500, 0.839], [0.000, 0.500, 0.161], [0.500, 0.500, 0.000], [0.500, 0.000, 0.500], [0.000, 0.000, 0.672], [0.000, 0.000, 0.328], [0.000, 0.000, 0.000]]
}

6.
{
  "formula": "Cs2AcPb2Se4",
  "functional": "PBE",
  "state": "optimized geometry",
  "dos_at_fermi_per_ev_fu": 1.17,
  "total_energy_ev_per_atom": -4.11,
  "cell": [[4.683, 0.000, 0.000], [-2.342, 9.541, -0.308], [0.000, -3.625, 8.224]],
  "species": ["Se", "Se", "Se", "Se", "Cs", "Cs", "Ac", "Pb", "Pb"],
  "fractional_positions": [[0.472, 0.945, 0.210], [0.177, 0.353, 0.227], [0.823, 0.647, 0.773], [0.528, 0.055, 0.790], [0.124, 0.249, 0.565], [0.876, 0.751, 0.435], [0.000, 0.000, 0.000], [0.316, 0.633, 0.953], [0.684, 0.367, 0.047]]
}

7.
{
  "formula": "Pm2HgAs",
  "functional": "PBE",
  "state": "optimized geometry",
  "formation_energy_ev_per_atom": -0.70,
  "dos_at_fermi_per_ev_fu": 4.23,
  "cell": [[-3.222, -2.081, -3.603], [1.848, -1.277, -4.759], [0.492, -5.059, -1.361]],
  "species": ["As", "Hg", "Pm", "Pm"],
  "fractional_positions": [[0.000, 0.000, 0.000], [0.500, 0.500, 0.500], [0.750, 0.750, 0.750], [0.250, 0.250, 0.250]]
}

8.
{
  "formula": "PrThPb2",
  "functional": "PBE",
  "state": "optimized geometry",
  "formation_energy_ev_per_atom": -0.28,
  "dos_at_fermi_per_ev_fu": 7.69,
  "cell": [[5.597, 0.000, 0.000], [2.799, 4.847, 0.000], [2.799, 1.616, 4.570]],
  "species": ["Pb", "Pb", "Pr", "Th"],
  "fractional_positions": [[0.250, 0.250, 0.250], [0.750, 0.750, 0.750], [0.000, 0.000, 0.000], [0.500, 0.500, 0.500]]
}